Y4Cr6O19: relaxed, PBE with a Hubbard U.

## Properties
Total magnetic moment, μB per atom: 0.345
Uncorrected energy, eV per atom: -7.823
SG: I23 (197)

a b c (Å): 7.4635 7.4635 7.4635
angles (deg): 109.47 109.47 109.47
Closest atoms and distances in Å follow each position.
Element x y z (fractional)
O1 0.6743 0.3997 0.6444  2 Cr 1.89-1.94
O2 0.3257 0.9700 0.7254  2 Cr 1.89-1.94
O3 0.6003 0.2746 0.2446  2 Cr 1.89-1.94
O4 0.3505 0.0000 0.3505  2 Cr 1.91
O5 0.2746 0.2446 0.6003  2 Cr 1.89-1.94
O6 0.0000 0.6495 0.6495  2 Cr 1.91
O7 0.0000 0.0000 0.0000  4 Y 2.39
O8 0.6444 0.6743 0.3997  2 Cr 1.89-1.94
O9 0.2446 0.6003 0.2746  2 Cr 1.89-1.94
O10 0.0300 0.3556 0.7554  2 Cr 1.89-1.94
O11 0.6495 0.0000 0.6495  2 Cr 1.91
O12 0.3505 0.3505 0.0000  2 Cr 1.91
O13 0.3556 0.7554 0.0300  2 Cr 1.89-1.94
O14 0.3997 0.6444 0.6743  2 Cr 1.89-1.94
O15 0.7554 0.0300 0.3556  2 Cr 1.89-1.94
O16 0.6495 0.6495 0.0000  2 Cr 1.91
O17 0.9700 0.7254 0.3257  2 Cr 1.89-1.94
O18 0.7254 0.3257 0.9700  2 Cr 1.89-1.94
O19 0.0000 0.3505 0.3505  2 Cr 1.91
Cr1 0.5000 0.8364 0.3364  6 O 1.89-1.94
Cr2 0.1636 0.6636 0.5000  6 O 1.89-1.94
Cr3 0.3364 0.5000 0.8364  6 O 1.89-1.94
Cr4 0.5000 0.1636 0.6636  6 O 1.89-1.94
Cr5 0.6636 0.5000 0.1636  6 O 1.89-1.94
Cr6 0.8364 0.3364 0.5000  6 O 1.89-1.94
Y1 0.0000 0.6799 0.0000  10 O 2.39-2.63
Y2 0.6799 0.0000 0.0000  10 O 2.39-2.63
Y3 0.3201 0.3201 0.3201  10 O 2.39-2.63
Y4 0.0000 0.0000 0.6799  10 O 2.39-2.63